# 1
Below is a relaxed structure of La2Al3CdPt2, with properties calculated at the PBE level.

a b c (Å): 10.7782 4.3503 7.3922
angles (deg): 90.00 90.21 90.00
Positions (direct):
La (0.0000, 0.0000, 0.0000)
La (0.1289, 0.0000, 0.4864)
La (0.5000, 0.5000, 0.0000)
La (0.6289, 0.5000, 0.4864)
Al (0.2273, 0.5000, 0.1937)
Al (0.4033, 0.0000, 0.6949)
Al (0.4099, 0.0000, 0.3137)
Al (0.7273, 0.0000, 0.1937)
Al (0.9033, 0.5000, 0.6949)
Al (0.9099, 0.5000, 0.3137)
Cd (0.1989, 0.5000, 0.8009)
Cd (0.6989, 0.0000, 0.8009)
Pt (0.2902, 0.0000, 0.0175)
Pt (0.3551, 0.5000, 0.4926)
Pt (0.7902, 0.5000, 0.0175)
Pt (0.8551, 0.0000, 0.4926)

The total energy comes out at -5.11 eV per atom. The crystal system is monoclinic.

# 2
Below is a relaxed structure of La3AlCdS7, with properties calculated at the PBE level.

a b c (Å): 10.2796 10.2796 6.1014
angles (deg): 90.00 90.00 120.00
Positions (direct):
La (0.1350, 0.3759, 0.0000)
La (0.2409, 0.8650, 0.0000)
La (0.3759, 0.2409, 0.5000)
La (0.6241, 0.7591, 0.0000)
La (0.7591, 0.1350, 0.5000)
La (0.8650, 0.6241, 0.5000)
Al (0.3333, 0.6667, 0.4197)
Al (0.6667, 0.3333, 0.9197)
Cd (0.0000, 0.0000, 0.2652)
Cd (0.0000, 0.0000, 0.7652)
S (0.0915, 0.2514, 0.5291)
S (0.1039, 0.5857, 0.2697)
S (0.1599, 0.9085, 0.5291)
S (0.2514, 0.1599, 0.0291)
S (0.3333, 0.6667, 0.7862)
S (0.4143, 0.5182, 0.2697)
S (0.4818, 0.8961, 0.2697)
S (0.5182, 0.1039, 0.7697)
S (0.5857, 0.4818, 0.7697)
S (0.6667, 0.3333, 0.2862)
S (0.7486, 0.8401, 0.5291)
S (0.8401, 0.0915, 0.0291)
S (0.8961, 0.4143, 0.7697)
S (0.9085, 0.7486, 0.0291)

The total energy comes out at -5.73 eV per atom. The crystal system is hexagonal.

# 3
Below is a relaxed structure of Li4AlCd3, with properties calculated at the PBE level.

a b c (Å): 4.5630 4.5630 6.4543
angles (deg): 90.00 90.00 90.00
Positions (direct):
Li (0.0000, 0.0000, 0.0000)
Li (0.0000, 0.5000, 0.7473)
Li (0.5000, 0.0000, 0.2527)
Li (0.5000, 0.5000, 0.5000)
Al (0.0000, 0.0000, 0.5000)
Cd (0.0000, 0.5000, 0.2653)
Cd (0.5000, 0.0000, 0.7347)
Cd (0.5000, 0.5000, 0.0000)

The total energy comes out at -1.99 eV per atom. The crystal system is tetragonal.

# 4
Below is a relaxed structure of LiMgAlCd, with properties calculated at the PBE level.

a b c (Å): 6.6699 6.6699 6.6699
angles (deg): 90.00 90.00 90.00
Positions (direct):
Li (0.0000, 0.0000, 0.0000)
Li (0.0000, 0.5000, 0.5000)
Li (0.5000, 0.0000, 0.5000)
Li (0.5000, 0.5000, 0.0000)
Mg (0.2500, 0.2500, 0.2500)
Mg (0.2500, 0.7500, 0.7500)
Mg (0.7500, 0.2500, 0.7500)
Mg (0.7500, 0.7500, 0.2500)
Al (0.0000, 0.0000, 0.5000)
Al (0.0000, 0.5000, 0.0000)
Al (0.5000, 0.0000, 0.0000)
Al (0.5000, 0.5000, 0.5000)
Cd (0.2500, 0.2500, 0.7500)
Cd (0.2500, 0.7500, 0.2500)
Cd (0.7500, 0.2500, 0.2500)
Cd (0.7500, 0.7500, 0.7500)

The energy above the lowest structure with this stoichiometry is 0.0 meV per atom. The total energy comes out at -2.12 eV per atom. The crystal system is cubic.

# 5
Below is a relaxed structure of LiMgAlCd, with properties calculated at the PBE level.

a b c (Å): 6.6552 6.6552 6.6552
angles (deg): 90.00 90.00 90.00
Positions (direct):
Li (0.0000, 0.0000, 0.0000)
Li (0.0000, 0.5000, 0.5000)
Li (0.5000, 0.0000, 0.5000)
Li (0.5000, 0.5000, 0.0000)
Mg (0.2500, 0.2500, 0.7500)
Mg (0.2500, 0.7500, 0.2500)
Mg (0.7500, 0.2500, 0.2500)
Mg (0.7500, 0.7500, 0.7500)
Al (0.2500, 0.2500, 0.2500)
Al (0.2500, 0.7500, 0.7500)
Al (0.7500, 0.2500, 0.7500)
Al (0.7500, 0.7500, 0.2500)
Cd (0.0000, 0.0000, 0.5000)
Cd (0.0000, 0.5000, 0.0000)
Cd (0.5000, 0.0000, 0.0000)
Cd (0.5000, 0.5000, 0.5000)

The energy above the lowest structure with this stoichiometry is 12.0 meV per atom. The total energy comes out at -2.11 eV per atom. The crystal system is cubic.

# 6
Below is a relaxed structure of Li2MgAl2CdPd2, with properties calculated at the PBE level.

a b c (Å): 4.4455 4.4455 6.3079
angles (deg): 90.00 90.00 90.00
Positions (direct):
Li (0.0000, 0.5000, 0.2475)
Li (0.5000, 0.0000, 0.7525)
Mg (0.0000, 0.0000, 0.5000)
Al (0.0000, 0.0000, 0.0000)
Al (0.5000, 0.5000, 0.5000)
Cd (0.5000, 0.5000, 0.0000)
Pd (0.0000, 0.5000, 0.7377)
Pd (0.5000, 0.0000, 0.2623)

The total energy comes out at -3.54 eV per atom. The crystal system is tetragonal.

# 7
Below is a relaxed structure of Li2Mg2AlCdPd2, with properties calculated at the PBE level.

a b c (Å): 4.4796 4.4796 6.3821
angles (deg): 90.00 90.00 90.00
Positions (direct):
Li (0.0000, 0.5000, 0.2439)
Li (0.5000, 0.0000, 0.7561)
Mg (0.0000, 0.0000, 0.0000)
Mg (0.5000, 0.5000, 0.5000)
Al (0.5000, 0.5000, 0.0000)
Cd (0.0000, 0.0000, 0.5000)
Pd (0.0000, 0.5000, 0.7754)
Pd (0.5000, 0.0000, 0.2246)

The total energy comes out at -3.26 eV per atom. The crystal system is tetragonal.

# 8
Below is a relaxed structure of Li2Mg2AlCdPt2, with properties calculated at the PBE level.

a b c (Å): 4.4601 4.4601 6.4169
angles (deg): 90.00 90.00 90.00
Positions (direct):
Li (0.0000, 0.5000, 0.2418)
Li (0.5000, 0.0000, 0.7582)
Mg (0.0000, 0.0000, 0.0000)
Mg (0.5000, 0.5000, 0.5000)
Al (0.5000, 0.5000, 0.0000)
Cd (0.0000, 0.0000, 0.5000)
Pt (0.0000, 0.5000, 0.7772)
Pt (0.5000, 0.0000, 0.2228)

The total energy comes out at -3.62 eV per atom. The crystal system is tetragonal.

What did the fifth record say?
Below is a relaxed structure of LiMgAlCd, with properties calculated at the PBE level.

a b c (Å): 6.6552 6.6552 6.6552
angles (deg): 90.00 90.00 90.00
Positions (direct):
Li (0.0000, 0.0000, 0.0000)
Li (0.0000, 0.5000, 0.5000)
Li (0.5000, 0.0000, 0.5000)
Li (0.5000, 0.5000, 0.0000)
Mg (0.2500, 0.2500, 0.7500)
Mg (0.2500, 0.7500, 0.2500)
Mg (0.7500, 0.2500, 0.2500)
Mg (0.7500, 0.7500, 0.7500)
Al (0.2500, 0.2500, 0.2500)
Al (0.2500, 0.7500, 0.7500)
Al (0.7500, 0.2500, 0.7500)
Al (0.7500, 0.7500, 0.2500)
Cd (0.0000, 0.0000, 0.5000)
Cd (0.0000, 0.5000, 0.0000)
Cd (0.5000, 0.0000, 0.0000)
Cd (0.5000, 0.5000, 0.5000)

The energy above the lowest structure with this stoichiometry is 12.0 meV per atom. The total energy comes out at -2.11 eV per atom. The crystal system is cubic.

Which formula does entry 4 have? LiMgAlCd